Compound: K3LaCe2Se6
Source: Alexandria via LeMat-Bulk
Functional: PBE-GGA
Structure: relaxed

Output
total magnetic moment = 4.01 Bohr magnetons per cell
formation energy without anion corrections = -1.736 eV per atom
crystal system = monoclinic

a = 7.6331 Å, b = 13.2210 Å, c = 8.0752 Å
α = 90.00°, β = 108.37°, γ = 90.00°
Last column: nearest neighbours and their distance in Å.
Space group C2/m (No. 12)
One atom of each set of equivalent atoms:
1 K 0.0000 0.0000 0.0000 (multiplicity 2)  6 Se 3.36-3.39
2 K 0.0000 0.3338 0.0000 (multiplicity 4)  6 Se 3.36-3.39
3 La 0.0000 0.5000 0.5000 (multiplicity 2)  6 Se 3.03
4 Ce 0.0000 0.1667 0.5000 (multiplicity 4)  6 Se 3.00
5 Se 0.2335 0.0000 0.7104 (multiplicity 4)  2 Ce 3.00, 1 La 3.03, 1 K 3.36
6 Se 0.2384 0.3317 0.7102 (multiplicity 8)  2 Ce 3.00, 1 La 3.03